1.
# Pr6SiBi2, relaxed, DFT PBE-GGA
data_Pr6SiBi2
_chemical_formula_sum 'Pr6 Si1 Bi2'
_space_group_name_H-M_alt 'P 1'
_space_group_IT_number 1
_cell_length_a 4.4052
_cell_length_b 8.6801
_cell_length_c 8.6810
_cell_angle_alpha 120.00
_cell_angle_beta 90.00
_cell_angle_gamma 90.00
loop_
_space_group_symop_operation_xyz
'x,y,z'
loop_
_atom_site_label
_atom_site_type_symbol
_atom_site_fract_x
_atom_site_fract_y
_atom_site_fract_z
_atom_site_occupancy
Pr1 Pr 0.5000 0.5935 0.0000 1
Pr2 Pr 0.5000 0.4062 0.4062 1
Pr3 Pr 0.5000 0.0000 0.5938 1
Pr4 Pr 0.0000 0.2424 0.0000 1
Pr5 Pr 0.0000 0.7579 0.7580 1
Pr6 Pr 0.0000 0.9998 0.2420 1
Si1 Si 0.5000 0.0003 0.0000 1
Bi1 Bi 0.0000 0.3332 0.6664 1
Bi2 Bi 0.0000 0.6668 0.3336 1
# space-group type: P-62m (189)
# formation energy from raw total energies: -0.608 eV per atom
# total energy: -5.26 eV/atom

=====

2.
# SiHPd6, relaxed, DFT PBE-GGA
data_SiHPd6
_chemical_formula_sum 'Si1 H1 Pd6'
_space_group_name_H-M_alt 'P 1'
_space_group_IT_number 1
_cell_length_a 5.1450
_cell_length_b 5.2296
_cell_length_c 5.6538
_cell_angle_alpha 63.30
_cell_angle_beta 63.58
_cell_angle_gamma 60.13
loop_
_space_group_symop_operation_xyz
'x,y,z'
loop_
_atom_site_label
_atom_site_type_symbol
_atom_site_fract_x
_atom_site_fract_y
_atom_site_fract_z
_atom_site_occupancy
Si1 Si 0.5000 0.5000 0.5000 1
H1 H 0.0000 0.0000 0.0000 1
Pd1 Pd 0.0407 0.4186 0.7633 1
Pd2 Pd 0.7758 0.0389 0.7622 1
Pd3 Pd 0.5830 0.2215 0.2372 1
Pd4 Pd 0.2242 0.9611 0.2378 1
Pd5 Pd 0.9593 0.5814 0.2367 1
Pd6 Pd 0.4170 0.7785 0.7628 1
# space-group type: P-1 (2)
# total energy: -5.22 eV/atom

=====

The following spin magnetization values (in μB/cell) correspond, in order, to the records above: 2.21 0.00.